{"formula": "LiTc3Au", "functional": "GGA-PBE", "state": "relaxed", "formation_enthalpy_0k_mev_per_atom": 1135, "polymorph_energy_mev_per_atom": 0, "total_energy_ev_per_cell": -30.6, "space_group": "No. 221", "m_tot_mub_per_atom": 0.00, "lattice": [[4.154, 0.000, 0.000], [0.000, 4.154, 0.000], [0.000, 0.000, 4.154]], "species": ["Li", "Tc", "Tc", "Tc", "Au"], "fractional_positions": [[0.000, 0.000, 0.000], [0.000, 0.000, 0.500], [0.000, 0.500, 0.000], [0.500, 0.000, 0.000], [0.500, 0.500, 0.500]]}

{"formula": "Li2TcAu", "functional": "GGA-PBE", "state": "relaxed", "formation_enthalpy_0k_mev_per_atom": 132, "polymorph_energy_mev_per_atom": 159, "total_energy_ev_per_cell": -16.9, "space_group": "No. 47", "m_tot_mub_per_atom": 0.00, "lattice": [[2.605, 0.000, 0.000], [0.000, 3.871, 0.000], [0.000, 0.000, 5.754]], "species": ["Li", "Li", "Tc", "Au"], "fractional_positions": [[0.000, 0.000, 0.247], [0.000, 0.000, 0.753], [0.500, 0.500, 0.500], [0.500, 0.500, 0.000]]}

{"formula": "Li2TcAu", "functional": "GGA-PBE", "state": "relaxed", "formation_enthalpy_0k_mev_per_atom": 197, "polymorph_energy_mev_per_atom": 225, "total_energy_ev_per_cell": -16.7, "space_group": "No. 119", "m_tot_mub_per_atom": 0.58, "lattice": [[-2.207, 2.207, 3.141], [2.207, -2.207, 3.141], [2.207, 2.207, -3.141]], "species": ["Li", "Li", "Tc", "Au"], "fractional_positions": [[0.000, 0.000, 0.000], [0.750, 0.250, 0.500], [0.250, 0.750, 0.500], [0.500, 0.500, 0.000]]}

{"formula": "LiTcAu", "functional": "GGA-PBE", "state": "relaxed", "formation_enthalpy_0k_mev_per_atom": 200, "polymorph_energy_mev_per_atom": 3, "total_energy_ev_per_cell": -15.0, "space_group": "No. 42", "m_tot_mub_per_atom": 0.00, "lattice": [[0.000, 1.927, 6.554], [1.834, 0.000, 6.554], [1.834, 1.927, 0.000]], "species": ["Li", "Tc", "Au"], "fractional_positions": [[0.000, 0.000, 0.000], [0.332, 0.332, 0.668], [0.659, 0.659, 0.341]]}

{"formula": "Li2TcAu", "functional": "GGA-PBE", "state": "relaxed", "formation_enthalpy_0k_mev_per_atom": 35, "polymorph_energy_mev_per_atom": 63, "total_energy_ev_per_cell": -17.3, "space_group": "No. 12", "m_tot_mub_per_atom": 0.14, "lattice": [[4.648, -1.320, 0.000], [4.648, 1.320, 0.000], [-0.816, 0.000, 4.908]], "species": ["Li", "Li", "Tc", "Au"], "fractional_positions": [[0.248, 0.248, 0.260], [0.752, 0.752, 0.740], [0.000, 0.000, 0.500], [0.500, 0.500, 0.000]]}

{"formula": "Li2TcAu", "functional": "GGA-PBE", "state": "relaxed", "formation_enthalpy_0k_mev_per_atom": 147, "polymorph_energy_mev_per_atom": 175, "total_energy_ev_per_cell": -16.9, "space_group": "No. 65", "m_tot_mub_per_atom": 0.16, "lattice": [[2.800, -4.177, 0.000], [2.800, 4.177, 0.000], [0.000, 0.000, 2.573]], "species": ["Li", "Li", "Tc", "Au"], "fractional_positions": [[0.000, 0.500, 0.000], [0.500, 0.000, 0.000], [0.000, 0.000, 0.500], [0.500, 0.500, 0.500]]}

{"formula": "LiTcAu", "functional": "GGA-PBE", "state": "relaxed", "formation_enthalpy_0k_mev_per_atom": 290, "polymorph_energy_mev_per_atom": 93, "total_energy_ev_per_cell": -14.7, "space_group": "No. 44", "m_tot_mub_per_atom": 0.00, "lattice": [[-1.321, 2.067, 4.154], [1.321, -2.067, 4.154], [1.321, 2.067, -4.154]], "species": ["Li", "Tc", "Au"], "fractional_positions": [[0.000, 0.000, 0.000], [0.670, 0.670, 0.000], [0.338, 0.338, 0.000]]}

{"formula": "Li2TcAu", "functional": "GGA-PBE", "state": "relaxed", "formation_enthalpy_0k_mev_per_atom": -28, "polymorph_energy_mev_per_atom": 0, "total_energy_ev_per_cell": -17.6, "space_group": "No. 123", "m_tot_mub_per_atom": 0.00, "lattice": [[2.651, 0.000, 0.000], [0.000, 2.651, 0.000], [0.000, 0.000, 8.409]], "species": ["Li", "Li", "Tc", "Au"], "fractional_positions": [[0.000, 0.000, 0.247], [0.000, 0.000, 0.753], [0.500, 0.500, 0.500], [0.500, 0.500, 0.000]]}

{"formula": "Li2TcAu", "functional": "GGA-PBE", "state": "relaxed", "formation_enthalpy_0k_mev_per_atom": 233, "polymorph_energy_mev_per_atom": 260, "total_energy_ev_per_cell": -16.5, "space_group": "No. 123", "m_tot_mub_per_atom": 0.49, "lattice": [[3.853, 0.000, 0.000], [0.000, 3.853, 0.000], [0.000, 0.000, 4.145]], "species": ["Li", "Li", "Tc", "Au"], "fractional_positions": [[0.000, 0.500, 0.000], [0.500, 0.000, 0.000], [0.000, 0.000, 0.500], [0.500, 0.500, 0.500]]}

{"formula": "LiTiTc2Au", "functional": "GGA-PBE", "state": "relaxed", "formation_enthalpy_0k_mev_per_atom": 996, "total_energy_ev_per_cell": -28.8, "space_group": "No. 123", "m_tot_mub_per_atom": 0.58, "lattice": [[4.540, 0.000, 0.000], [0.000, 4.540, 0.000], [0.000, 0.000, 5.058]], "species": ["Li", "Ti", "Tc", "Tc", "Au"], "fractional_positions": [[0.000, 0.000, 0.000], [0.500, 0.500, 0.500], [0.000, 0.500, 0.500], [0.500, 0.000, 0.500], [0.500, 0.500, 0.000]]}

{"formula": "LiTcW2Au", "functional": "GGA-PBE", "state": "relaxed", "formation_enthalpy_0k_mev_per_atom": 1262, "total_energy_ev_per_cell": -35.2, "space_group": "No. 123", "m_tot_mub_per_atom": 0.00, "lattice": [[4.242, 0.000, 0.000], [0.000, 4.242, 0.000], [0.000, 0.000, 4.153]], "species": ["Li", "Tc", "W", "W", "Au"], "fractional_positions": [[0.000, 0.000, 0.000], [0.000, 0.000, 0.500], [0.000, 0.500, 0.000], [0.500, 0.000, 0.000], [0.500, 0.500, 0.500]]}

{"formula": "LiTeAu", "functional": "GGA-PBE", "state": "relaxed", "total_energy_ev_per_cell": -9.6, "space_group": "No. 156", "m_tot_mub_per_atom": 0.00, "lattice": [[4.628, 0.000, 0.000], [-2.314, 4.008, 0.000], [0.000, 0.000, 4.549]], "species": ["Li", "Te", "Au"], "fractional_positions": [[0.000, 0.000, 0.000], [0.667, 0.333, 0.685], [0.333, 0.667, 0.790]]}

{"formula": "Li3Te12Au5", "functional": "GGA-PBE", "state": "relaxed", "total_energy_ev_per_cell": -246.4, "space_group": "No. 230", "m_tot_mub_per_atom": 0.00, "lattice": [[-8.491, 8.491, 8.491], [8.491, -8.491, 8.491], [8.491, 8.491, -8.491]], "species": ["Li", "Li", "Li", "Li", "Li", "Li", "Li", "Li", "Li", "Li", "Li", "Li", "Te", "Te", "Te", "Te", "Te", "Te", "Te", "Te", "Te", "Te", "Te", "Te", "Te", "Te", "Te", "Te", "Te", "Te", "Te", "Te", "Te", "Te", "Te", "Te", "Te", "Te", "Te", "Te", "Te", "Te", "Te", "Te", "Te", "Te", "Te", "Te", "Te", "Te", "Te", "Te", "Te", "Te", "Te", "Te", "Te", "Te", "Te", "Te", "Au", "Au", "Au", "Au", "Au", "Au", "Au", "Au", "Au", "Au", "Au", "Au", "Au", "Au", "Au", "Au", "Au", "Au", "Au", "Au"], "fractional_positions": [[0.125, 0.250, 0.375], [0.125, 0.375, 0.750], [0.250, 0.375, 0.125], [0.250, 0.875, 0.625], [0.375, 0.125, 0.250], [0.375, 0.750, 0.125], [0.625, 0.250, 0.875], [0.625, 0.875, 0.750], [0.750, 0.125, 0.375], [0.750, 0.625, 0.875], [0.875, 0.625, 0.250], [0.875, 0.750, 0.625], [0.048, 0.213, 0.153], [0.048, 0.335, 0.895], [0.060, 0.713, 0.665], [0.060, 0.847, 0.395], [0.105, 0.653, 0.440], [0.105, 0.952, 0.665], [0.153, 0.048, 0.213], [0.153, 0.605, 0.940], [0.165, 0.213, 0.560], [0.165, 0.452, 0.605], [0.213, 0.153, 0.048], [0.213, 0.560, 0.165], [0.287, 0.335, 0.940], [0.287, 0.452, 0.347], [0.335, 0.895, 0.048], [0.335, 0.940, 0.287], [0.347, 0.287, 0.452], [0.347, 0.560, 0.895], [0.395, 0.060, 0.847], [0.395, 0.835, 0.548], [0.440, 0.105, 0.653], [0.440, 0.835, 0.787], [0.452, 0.347, 0.287], [0.452, 0.605, 0.165], [0.548, 0.395, 0.835], [0.548, 0.653, 0.713], [0.560, 0.165, 0.213], [0.560, 0.895, 0.347], [0.605, 0.165, 0.452], [0.605, 0.940, 0.153], [0.653, 0.440, 0.105], [0.653, 0.713, 0.548], [0.665, 0.060, 0.713], [0.665, 0.105, 0.952], [0.713, 0.548, 0.653], [0.713, 0.665, 0.060], [0.787, 0.440, 0.835], [0.787, 0.847, 0.952], [0.835, 0.548, 0.395], [0.835, 0.787, 0.440], [0.847, 0.395, 0.060], [0.847, 0.952, 0.787], [0.895, 0.048, 0.335], [0.895, 0.347, 0.560], [0.940, 0.153, 0.605], [0.940, 0.287, 0.335], [0.952, 0.665, 0.105], [0.952, 0.787, 0.847], [0.000, 0.000, 0.000], [0.000, 0.000, 0.500], [0.000, 0.500, 0.000], [0.000, 0.500, 0.500], [0.125, 0.750, 0.875], [0.125, 0.875, 0.250], [0.250, 0.125, 0.875], [0.250, 0.625, 0.375], [0.375, 0.250, 0.625], [0.375, 0.625, 0.750], [0.500, 0.000, 0.000], [0.500, 0.000, 0.500], [0.500, 0.500, 0.000], [0.500, 0.500, 0.500], [0.625, 0.375, 0.250], [0.625, 0.750, 0.375], [0.750, 0.375, 0.625], [0.750, 0.875, 0.125], [0.875, 0.125, 0.750], [0.875, 0.250, 0.125]]}

{"formula": "LiTe2Au2", "functional": "GGA-PBE", "state": "relaxed", "polymorph_energy_mev_per_atom": 0, "total_energy_ev_per_cell": -31.3, "space_group": "No. 127", "m_tot_mub_per_atom": 0.00, "lattice": [[7.679, 0.000, 0.000], [0.000, 7.679, 0.000], [0.000, 0.000, 3.919]], "species": ["Li", "Li", "Te", "Te", "Te", "Te", "Au", "Au", "Au", "Au"], "fractional_positions": [[0.000, 0.000, 0.000], [0.500, 0.500, 0.000], [0.184, 0.316, 0.500], [0.316, 0.816, 0.500], [0.684, 0.184, 0.500], [0.816, 0.684, 0.500], [0.129, 0.629, 0.000], [0.371, 0.129, 0.000], [0.629, 0.871, 0.000], [0.871, 0.371, 0.000]]}

{"formula": "LiTeAu", "functional": "GGA-PBE", "state": "relaxed", "total_energy_ev_per_cell": -8.8, "space_group": "No. 156", "m_tot_mub_per_atom": 0.00, "lattice": [[3.175, 0.000, 0.000], [-1.588, 2.750, 0.000], [0.000, 0.000, 7.369]], "species": ["Li", "Te", "Au"], "fractional_positions": [[0.000, 0.000, 0.000], [0.667, 0.333, 0.310], [0.333, 0.667, 0.734]]}

{"formula": "LiTeAu2", "functional": "GGA-PBE", "state": "relaxed", "total_energy_ev_per_cell": -12.7, "space_group": "No. 139", "m_tot_mub_per_atom": 0.00, "lattice": [[-2.064, 2.064, 4.565], [2.064, -2.064, 4.565], [2.064, 2.064, -4.565]], "species": ["Li", "Te", "Au", "Au"], "fractional_positions": [[0.000, 0.000, 0.000], [0.500, 0.500, 0.000], [0.250, 0.750, 0.500], [0.750, 0.250, 0.500]]}

{"formula": "Li3TeAu", "functional": "GGA-PBE", "state": "relaxed", "polymorph_energy_mev_per_atom": 0, "total_energy_ev_per_cell": -14.7, "space_group": "No. 221", "m_tot_mub_per_atom": 0.00, "lattice": [[4.831, 0.000, 0.000], [0.000, 4.831, 0.000], [0.000, 0.000, 4.831]], "species": ["Li", "Li", "Li", "Te", "Au"], "fractional_positions": [[0.000, 0.000, 0.500], [0.000, 0.500, 0.000], [0.500, 0.000, 0.000], [0.500, 0.500, 0.500], [0.000, 0.000, 0.000]]}

{"formula": "LiTeAu2", "functional": "GGA-PBE", "state": "relaxed", "total_energy_ev_per_cell": -12.5, "space_group": "No. 119", "m_tot_mub_per_atom": 0.00, "lattice": [[-2.148, 2.148, 4.267], [2.148, -2.148, 4.267], [2.148, 2.148, -4.267]], "species": ["Li", "Te", "Au", "Au"], "fractional_positions": [[0.000, 0.000, 0.000], [0.750, 0.250, 0.500], [0.250, 0.750, 0.500], [0.500, 0.500, 0.000]]}

{"formula": "LiTeAu2", "functional": "GGA-PBE", "state": "relaxed", "total_energy_ev_per_cell": -12.8, "space_group": "No. 123", "m_tot_mub_per_atom": 0.00, "lattice": [[4.131, 0.000, 0.000], [0.000, 4.131, 0.000], [0.000, 0.000, 4.542]], "species": ["Li", "Te", "Au", "Au"], "fractional_positions": [[0.000, 0.000, 0.000], [0.500, 0.500, 0.000], [0.000, 0.500, 0.500], [0.500, 0.000, 0.500]]}

{"formula": "Li2Te2Au", "functional": "GGA-PBE", "state": "relaxed", "polymorph_energy_mev_per_atom": 0, "total_energy_ev_per_cell": -31.7, "space_group": "No. 127", "m_tot_mub_per_atom": 0.00, "lattice": [[7.606, 0.000, 0.000], [0.000, 7.606, 0.000], [0.000, 0.000, 4.245]], "species": ["Li", "Li", "Li", "Li", "Te", "Te", "Te", "Te", "Au", "Au"], "fractional_positions": [[0.142, 0.358, 0.000], [0.358, 0.858, 0.000], [0.642, 0.142, 0.000], [0.858, 0.642, 0.000], [0.173, 0.673, 0.500], [0.327, 0.173, 0.500], [0.673, 0.827, 0.500], [0.827, 0.327, 0.500], [0.000, 0.000, 0.500], [0.500, 0.500, 0.500]]}